Compound: BeSi2Ni2
Source: Alexandria
Functional: PBE-GGA
Structure: relaxed

spin magnetization = 0.000 μB/f.u.
electronic total energy = -5.69 eV per atom
excess energy over the best structure of this formula in the dataset = 0.0 kJ/mol of formula units
ΔE_f (raw) = -0.4649 eV per atom
calculated volume = 57.5 Å³/cell
ρ = 5.28 Mg/m³
space-group type = No. 164

abc: 3.796 3.796 4.605
angles: 90.01 90.01 59.98
Sites, in units of the cell vectors:
Si1 0.167 0.667 0.347
Be1 0.500 0.000 0.000
Ni1 0.167 0.667 0.845
Si2 0.833 0.333 0.653
Ni2 0.833 0.333 0.155